[1]
Compound: Pr2Zn9Au
Source: the Alexandria database
Functional: PBE
Structure: relaxed

Results
Total magnetization = 0.00 μB/cell
Energy relative to the elements = -95 meV per atom
Theoretical density = 7.783 Mg/m³

Lattice parameters (Å, degrees): 5.539 5.539 9.149 72.38 72.38 60.00
Positions (direct):
Pr  0.861  0.861  0.417
Pr  0.139  0.139  0.583
Zn  0.665  0.665  0.004
Zn  0.335  0.335  0.996
Zn  0.500  0.500  0.500
Zn  0.418  0.418  0.243
Zn  0.921  0.418  0.243
Zn  0.418  0.921  0.243
Zn  0.582  0.582  0.757
Zn  0.582  0.079  0.757
Zn  0.079  0.582  0.757
Au  0.000  0.000  0.000

=====

[2]
Compound: Pu3GeH2
Source: the Alexandria database
Functional: PBE
Structure: relaxed

Results
Electronic total energy = -9.366 eV per atom
Total magnetization = 10.68 μB/cell
Theoretical density = 13.980 Mg/m³

Lattice parameters (Å, degrees): 5.067 6.156 6.156 86.30 90.00 90.00
Each line ends with the local moment (μB).
Positions (direct):
Pu  0.750  0.134  0.866  -4.30
Pu  0.750  0.174  0.449  4.75
Pu  0.250  0.449  0.174  4.75
Pu  0.750  0.551  0.826  4.75
Pu  0.250  0.826  0.551  4.75
Pu  0.250  0.866  0.134  -4.30
Ge  0.250  0.323  0.677  -0.09
Ge  0.750  0.677  0.323  -0.09
H  0.000  0.156  0.156  0.00
H  0.500  0.156  0.156  0.00
H  0.000  0.844  0.844  0.00
H  0.500  0.844  0.844  0.00